# ZnInHg2 GGA-PBE optimized geometry
data_ZnInHg2
_cell_length_a 3.726
_cell_length_b 5.312
_cell_length_c 9.779
_cell_angle_alpha 90.00
_cell_angle_beta 90.00
_cell_angle_gamma 90.00
_space_group_name_H-M_alt 'C m m 2'
_space_group_IT_number 35
loop_
_space_group_symop_operation_xyz
'x,y,z'
'-x,-y,z'
'-x,y,z'
'x,-y,z'
'x+1/2,y+1/2,z'
'-x+1/2,-y+1/2,z'
'-x+1/2,y+1/2,z'
'x+1/2,-y+1/2,z'
loop_
_atom_site_label
_atom_site_type_symbol
_atom_site_fract_x
_atom_site_fract_y
_atom_site_fract_z
_atom_site_occupancy
Zn1 Zn 0.000 0.000 0.000 1
In1 In 0.000 0.500 0.765 1
Hg1 Hg 0.000 0.000 0.491 1
Hg2 Hg 0.000 0.500 0.223 1
# * spin magnetization: 0.000 μB per atom
# * VASP energy: -0.0389 hartree per atom
# * crystal system: orthorhombic

=====

# ZnInHg2 GGA-PBE optimized geometry
data_ZnInHg2
_cell_length_a 4.865
_cell_length_b 4.865
_cell_length_c 4.051
_cell_angle_alpha 90.00
_cell_angle_beta 90.00
_cell_angle_gamma 90.00
_space_group_name_H-M_alt 'P 4/m m m'
_space_group_IT_number 123
_space_group_name_Hall '-P 4 2'
loop_
_atom_site_label
_atom_site_type_symbol
_atom_site_fract_x
_atom_site_fract_y
_atom_site_fract_z
_atom_site_occupancy
Zn1 Zn 0.000 0.000 0.000 1
In1 In 0.500 0.500 0.000 1
Hg1 Hg 0.000 0.500 0.500 1
# * spin magnetization: 0.000 μB per atom
# * VASP energy: -0.0392 hartree per atom
# * crystal system: tetragonal

=====

# Zn2In8Hg3 GGA-PBE optimized geometry
data_Zn2In8Hg3
_cell_length_a 9.777
_cell_length_b 14.609
_cell_length_c 4.849
_cell_angle_alpha 90.00
_cell_angle_beta 90.00
_cell_angle_gamma 90.00
_space_group_name_H-M_alt 'C m m m'
_space_group_IT_number 65
_space_group_name_Hall '-C 2 2'
loop_
_atom_site_label
_atom_site_type_symbol
_atom_site_fract_x
_atom_site_fract_y
_atom_site_fract_z
_atom_site_occupancy
Zn1 Zn 0.000 0.249 0.000 1
In1 In 0.000 0.137 0.500 1
In2 In 0.000 0.362 0.500 1
In3 In 0.244 0.137 0.000 1
Hg1 Hg 0.000 0.500 0.000 1
Hg2 Hg 0.234 0.000 0.500 1
# * spin magnetization: 0.000 μB per atom
# * VASP energy: -0.0695 hartree per atom
# * crystal system: orthorhombic

=====

# ZnIn2Hg GGA-PBE optimized geometry
data_ZnIn2Hg
_cell_length_a 3.678
_cell_length_b 5.180
_cell_length_c 10.166
_cell_angle_alpha 90.00
_cell_angle_beta 90.00
_cell_angle_gamma 90.00
_space_group_name_H-M_alt 'I m m 2'
_space_group_IT_number 44
loop_
_space_group_symop_operation_xyz
'x,y,z'
'-x,-y,z'
'-x,y,z'
'x,-y,z'
'x+1/2,y+1/2,z+1/2'
'-x+1/2,-y+1/2,z+1/2'
'-x+1/2,y+1/2,z+1/2'
'x+1/2,-y+1/2,z+1/2'
loop_
_atom_site_label
_atom_site_type_symbol
_atom_site_fract_x
_atom_site_fract_y
_atom_site_fract_z
_atom_site_occupancy
Zn1 Zn 0.000 0.000 0.000 1
In1 In 0.000 0.000 0.507 1
In2 In 0.000 0.500 0.729 1
Hg1 Hg 0.000 0.500 0.280 1
# * spin magnetization: 0.000 μB per atom
# * VASP energy: -0.0617 hartree per atom
# * crystal system: orthorhombic
# * offset from the most stable computed form: 0.031 eV/atom

=====

# ZnIn2Hg2 GGA-PBE optimized geometry
data_ZnIn2Hg2
_cell_length_a 7.411
_cell_length_b 7.411
_cell_length_c 4.727
_cell_angle_alpha 90.00
_cell_angle_beta 90.00
_cell_angle_gamma 90.00
_space_group_name_H-M_alt 'P 4/m b m'
_space_group_IT_number 127
_space_group_name_Hall '-P 4 2ab'
loop_
_atom_site_label
_atom_site_type_symbol
_atom_site_fract_x
_atom_site_fract_y
_atom_site_fract_z
_atom_site_occupancy
Zn1 Zn 0.000 0.000 0.000 1
In1 In 0.149 0.351 0.000 1
Hg1 Hg 0.165 0.665 0.500 1
# * spin magnetization: 0.000 μB per atom
# * VASP energy: -0.0503 hartree per atom
# * crystal system: tetragonal
# * offset from the most stable computed form: 0.032 eV/atom

=====

# ZnIn9Hg2 GGA-PBE optimized geometry
data_ZnIn9Hg2
_cell_length_a 4.689
_cell_length_b 4.689
_cell_length_c 14.066
_cell_angle_alpha 90.00
_cell_angle_beta 90.00
_cell_angle_gamma 90.00
_space_group_name_H-M_alt 'P 4/m m m'
_space_group_IT_number 123
_space_group_name_Hall '-P 4 2'
loop_
_atom_site_label
_atom_site_type_symbol
_atom_site_fract_x
_atom_site_fract_y
_atom_site_fract_z
_atom_site_occupancy
Zn1 Zn 0.000 0.000 0.000 1
In1 In 0.000 0.500 0.160 1
In2 In 0.000 0.500 0.500 1
In3 In 0.500 0.500 0.000 1
In4 In 0.500 0.500 0.329 1
Hg1 Hg 0.000 0.000 0.330 1
# * spin magnetization: 0.000 μB per atom
# * VASP energy: -0.0801 hartree per atom
# * crystal system: tetragonal

=====

# ZnInHg2 GGA-PBE optimized geometry
data_ZnInHg2
_cell_length_a 4.612
_cell_length_b 4.589
_cell_length_c 9.558
_cell_angle_alpha 90.00
_cell_angle_beta 103.25
_cell_angle_gamma 90.00
_space_group_name_H-M_alt 'P 1 21/m 1'
_space_group_IT_number 11
loop_
_space_group_symop_operation_xyz
'x,y,z'
'-x,-y,-z'
'-x,y+1/2,-z'
'x,-y+1/2,z'
loop_
_atom_site_label
_atom_site_type_symbol
_atom_site_fract_x
_atom_site_fract_y
_atom_site_fract_z
_atom_site_occupancy
Zn1 Zn 0.158 0.250 0.317 1
In1 In 0.436 0.750 0.876 1
Hg1 Hg 0.067 0.750 0.142 1
Hg2 Hg 0.257 0.750 0.510 1
# * spin magnetization: 0.000 μB per atom
# * VASP energy: -0.0404 hartree per atom
# * crystal system: monoclinic

=====

# ZnIn2Hg GGA-PBE optimized geometry
data_ZnIn2Hg
_cell_length_a 4.531
_cell_length_b 4.852
_cell_length_c 9.332
_cell_angle_alpha 90.00
_cell_angle_beta 102.63
_cell_angle_gamma 90.00
_space_group_name_H-M_alt 'P 1 21/m 1'
_space_group_IT_number 11
loop_
_space_group_symop_operation_xyz
'x,y,z'
'-x,-y,-z'
'-x,y+1/2,-z'
'x,-y+1/2,z'
loop_
_atom_site_label
_atom_site_type_symbol
_atom_site_fract_x
_atom_site_fract_y
_atom_site_fract_z
_atom_site_occupancy
Zn1 Zn 0.158 0.250 0.314 1
In1 In 0.062 0.750 0.129 1
In2 In 0.252 0.750 0.493 1
Hg1 Hg 0.430 0.750 0.871 1
# * spin magnetization: 0.000 μB per atom
# * VASP energy: -0.0628 hartree per atom
# * crystal system: monoclinic
# * offset from the most stable computed form: 0.000 eV/atom

=====

# ZnIn2Hg GGA-PBE optimized geometry
data_ZnIn2Hg
_cell_length_a 7.309
_cell_length_b 7.309
_cell_length_c 7.309
_cell_angle_alpha 90.00
_cell_angle_beta 90.00
_cell_angle_gamma 90.00
_space_group_name_H-M_alt 'F m -3 m'
_space_group_IT_number 225
_space_group_name_Hall '-F 4 2 3'
loop_
_atom_site_label
_atom_site_type_symbol
_atom_site_fract_x
_atom_site_fract_y
_atom_site_fract_z
_atom_site_occupancy
Zn1 Zn 0.000 0.000 0.000 1
In1 In 0.250 0.250 0.250 1
Hg1 Hg 0.000 0.000 0.500 1
# * spin magnetization: 0.000 μB per atom
# * VASP energy: -0.0612 hartree per atom
# * crystal system: cubic
# * offset from the most stable computed form: 0.044 eV/atom

=====

# Zn2InHg GGA-PBE optimized geometry
data_Zn2InHg
_cell_length_a 4.037
_cell_length_b 4.317
_cell_length_c 4.816
_cell_angle_alpha 90.00
_cell_angle_beta 90.00
_cell_angle_gamma 90.00
_space_group_name_H-M_alt 'P m m m'
_space_group_IT_number 47
loop_
_space_group_symop_operation_xyz
'x,y,z'
'-x,-y,-z'
'-x,-y,z'
'x,y,-z'
'x,-y,-z'
'-x,y,z'
'-x,y,-z'
'x,-y,z'
loop_
_atom_site_label
_atom_site_type_symbol
_atom_site_fract_x
_atom_site_fract_y
_atom_site_fract_z
_atom_site_occupancy
Zn1 Zn 0.000 0.000 0.000 1
Zn2 Zn 0.000 0.500 0.500 1
In1 In 0.500 0.000 0.500 1
Hg1 Hg 0.500 0.500 0.000 1
# * spin magnetization: 0.000 μB per atom
# * VASP energy: -0.0465 hartree per atom
# * crystal system: orthorhombic
# * offset from the most stable computed form: 0.045 eV/atom

=====

# Zn2InHg GGA-PBE optimized geometry
data_Zn2InHg
_cell_length_a 3.475
_cell_length_b 3.475
_cell_length_c 7.015
_cell_angle_alpha 90.00
_cell_angle_beta 90.00
_cell_angle_gamma 90.00
_space_group_name_H-M_alt 'P 4/m m m'
_space_group_IT_number 123
_space_group_name_Hall '-P 4 2'
loop_
_atom_site_label
_atom_site_type_symbol
_atom_site_fract_x
_atom_site_fract_y
_atom_site_fract_z
_atom_site_occupancy
Zn1 Zn 0.000 0.000 0.240 1
In1 In 0.500 0.500 0.500 1
Hg1 Hg 0.500 0.500 0.000 1
# * spin magnetization: 0.000 μB per atom
# * VASP energy: -0.0463 hartree per atom
# * crystal system: tetragonal
# * offset from the most stable computed form: 0.050 eV/atom

=====

# ZnIn2Hg GGA-PBE optimized geometry
data_ZnIn2Hg
_cell_length_a 3.773
_cell_length_b 4.606
_cell_length_c 5.768
_cell_angle_alpha 90.00
_cell_angle_beta 104.37
_cell_angle_gamma 90.00
_space_group_name_H-M_alt 'P 1 m 1'
_space_group_IT_number 6
loop_
_space_group_symop_operation_xyz
'x,y,z'
'x,-y,z'
loop_
_atom_site_label
_atom_site_type_symbol
_atom_site_fract_x
_atom_site_fract_y
_atom_site_fract_z
_atom_site_occupancy
Zn1 Zn 0.000 0.000 0.000 1
In1 In 0.395 0.500 0.844 1
In2 In 0.666 0.000 0.490 1
Hg1 Hg 0.065 0.500 0.303 1
# * spin magnetization: 0.000 μB per atom
# * VASP energy: -0.0623 hartree per atom
# * crystal system: monoclinic
# * offset from the most stable computed form: 0.014 eV/atom

=====

Repeat the sixth record exactly.
# ZnIn9Hg2 GGA-PBE optimized geometry
data_ZnIn9Hg2
_cell_length_a 4.689
_cell_length_b 4.689
_cell_length_c 14.066
_cell_angle_alpha 90.00
_cell_angle_beta 90.00
_cell_angle_gamma 90.00
_space_group_name_H-M_alt 'P 4/m m m'
_space_group_IT_number 123
_space_group_name_Hall '-P 4 2'
loop_
_atom_site_label
_atom_site_type_symbol
_atom_site_fract_x
_atom_site_fract_y
_atom_site_fract_z
_atom_site_occupancy
Zn1 Zn 0.000 0.000 0.000 1
In1 In 0.000 0.500 0.160 1
In2 In 0.000 0.500 0.500 1
In3 In 0.500 0.500 0.000 1
In4 In 0.500 0.500 0.329 1
Hg1 Hg 0.000 0.000 0.330 1
# * spin magnetization: 0.000 μB per atom
# * VASP energy: -0.0801 hartree per atom
# * crystal system: tetragonal

=====

Please write out number 7 again, unchanged.
# ZnInHg2 GGA-PBE optimized geometry
data_ZnInHg2
_cell_length_a 4.612
_cell_length_b 4.589
_cell_length_c 9.558
_cell_angle_alpha 90.00
_cell_angle_beta 103.25
_cell_angle_gamma 90.00
_space_group_name_H-M_alt 'P 1 21/m 1'
_space_group_IT_number 11
loop_
_space_group_symop_operation_xyz
'x,y,z'
'-x,-y,-z'
'-x,y+1/2,-z'
'x,-y+1/2,z'
loop_
_atom_site_label
_atom_site_type_symbol
_atom_site_fract_x
_atom_site_fract_y
_atom_site_fract_z
_atom_site_occupancy
Zn1 Zn 0.158 0.250 0.317 1
In1 In 0.436 0.750 0.876 1
Hg1 Hg 0.067 0.750 0.142 1
Hg2 Hg 0.257 0.750 0.510 1
# * spin magnetization: 0.000 μB per atom
# * VASP energy: -0.0404 hartree per atom
# * crystal system: monoclinic

=====

Q: Number 1 is which compound?
A: ZnInHg2